1.
First-principles (PBE) data for an optimized crystal structure of LaTc2, as listed in Alexandria via LeMat-Bulk.

- total DFT energy (no corrections) (eV per atom) = -8.34
- formation enthalpy at 0 K (eV per atom) = 0.2121
- space group = I4_1/amd
- M_tot (μB/cell) = 0.00

```
data_LaTc2
_chemical_formula_sum 'La2 Tc4'
_cell_length_a 7.849
_cell_length_b 7.849
_cell_length_c 7.849
_cell_angle_alpha 147.86
_cell_angle_beta 147.86
_cell_angle_gamma 46.09
_symmetry_space_group_name_H-M 'P 1'
_symmetry_Int_Tables_number 1
_symmetry_space_group_name_Hall 'P 1'
loop_
_atom_site_label
_atom_site_type_symbol
_atom_site_fract_x
_atom_site_fract_y
_atom_site_fract_z
_atom_site_occupancy
Tc1 Tc 0.334 0.834 0.500 1
Tc2 Tc 0.416 0.416 0.000 1
Tc3 Tc 0.584 0.584 0.000 1
Tc4 Tc 0.166 0.666 0.500 1
La1 La 0.000 0.000 0.000 1
La2 La 0.750 0.250 0.500 1
```


2.
First-principles (PBE) data for an optimized crystal structure of LaTc, as listed in Alexandria via LeMat-Bulk.

- total DFT energy (no corrections) (eV per atom) = -7.49
- formation enthalpy at 0 K (eV per atom) = 0.1578
- space group = P-1
- M_tot (μB/cell) = 0.00

```
data_LaTc
_chemical_formula_sum 'La2 Tc2'
_cell_length_a 4.109
_cell_length_b 5.272
_cell_length_c 5.484
_cell_angle_alpha 115.60
_cell_angle_beta 90.06
_cell_angle_gamma 112.94
_symmetry_space_group_name_H-M 'P 1'
_symmetry_Int_Tables_number 1
_symmetry_space_group_name_Hall 'P 1'
loop_
_atom_site_label
_atom_site_type_symbol
_atom_site_fract_x
_atom_site_fract_y
_atom_site_fract_z
_atom_site_occupancy
La1 La 0.905 0.311 0.161 1
La2 La 0.095 0.689 0.839 1
Tc1 Tc 0.319 0.137 0.535 1
Tc2 Tc 0.681 0.863 0.465 1
```


3.
First-principles (PBE) data for an optimized crystal structure of LaTc5, as listed in Alexandria via LeMat-Bulk.

- total DFT energy (no corrections) (eV per atom) = -9.25
- formation enthalpy at 0 K (eV per atom) = 0.2063
- space group = P6/mmm
- M_tot (μB/cell) = 0.00

```
data_LaTc5
_chemical_formula_sum 'La1 Tc5'
_cell_length_a 5.302
_cell_length_b 5.302
_cell_length_c 4.462
_cell_angle_alpha 90.00
_cell_angle_beta 90.00
_cell_angle_gamma 120.00
_symmetry_space_group_name_H-M 'P 1'
_symmetry_Int_Tables_number 1
_symmetry_space_group_name_Hall 'P 1'
loop_
_atom_site_label
_atom_site_type_symbol
_atom_site_fract_x
_atom_site_fract_y
_atom_site_fract_z
_atom_site_occupancy
La1 La 0.000 0.000 0.500 1
Tc1 Tc 0.667 0.333 0.500 1
Tc2 Tc 0.500 0.500 0.000 1
Tc3 Tc 0.000 0.500 0.000 1
Tc4 Tc 0.500 0.000 0.000 1
Tc5 Tc 0.333 0.667 0.500 1
```


4.
First-principles (PBE) data for an optimized crystal structure of LaTc, as listed in Alexandria via LeMat-Bulk.

- total DFT energy (no corrections) (eV per atom) = -7.34
- formation enthalpy at 0 K (eV per atom) = 0.3045
- space group = Pmma
- M_tot (μB/cell) = 0.00

```
data_LaTc
_chemical_formula_sum 'La2 Tc2'
_cell_length_a 3.928
_cell_length_b 5.305
_cell_length_c 4.680
_cell_angle_alpha 90.00
_cell_angle_beta 90.00
_cell_angle_gamma 90.00
_symmetry_space_group_name_H-M 'P 1'
_symmetry_Int_Tables_number 1
_symmetry_space_group_name_Hall 'P 1'
loop_
_atom_site_label
_atom_site_type_symbol
_atom_site_fract_x
_atom_site_fract_y
_atom_site_fract_z
_atom_site_occupancy
Tc1 Tc 0.500 0.236 0.500 1
Tc2 Tc 0.500 0.431 0.000 1
La1 La 0.000 0.034 0.000 1
La2 La 0.000 0.633 0.500 1
```


5.
First-principles (PBE) data for an optimized crystal structure of LaTc2, as listed in Alexandria via LeMat-Bulk.

- total DFT energy (no corrections) (eV per atom) = -8.36
- formation enthalpy at 0 K (eV per atom) = 0.1928
- space group = Pnma
- M_tot (μB/cell) = 0.00

```
data_LaTc2
_chemical_formula_sum 'La4 Tc8'
_cell_length_a 5.650
_cell_length_b 4.160
_cell_length_c 11.083
_cell_angle_alpha 90.00
_cell_angle_beta 90.00
_cell_angle_gamma 90.00
_symmetry_space_group_name_H-M 'P 1'
_symmetry_Int_Tables_number 1
_symmetry_space_group_name_Hall 'P 1'
loop_
_atom_site_label
_atom_site_type_symbol
_atom_site_fract_x
_atom_site_fract_y
_atom_site_fract_z
_atom_site_occupancy
La1 La 0.110 0.250 0.869 1
La2 La 0.390 0.750 0.369 1
La3 La 0.610 0.250 0.631 1
La4 La 0.890 0.750 0.131 1
Tc1 Tc 0.401 0.750 0.062 1
Tc2 Tc 0.393 0.250 0.177 1
Tc3 Tc 0.607 0.750 0.823 1
Tc4 Tc 0.107 0.750 0.677 1
Tc5 Tc 0.599 0.250 0.938 1
Tc6 Tc 0.099 0.250 0.562 1
Tc7 Tc 0.893 0.250 0.323 1
Tc8 Tc 0.901 0.750 0.438 1
```


6.
First-principles (PBE) data for an optimized crystal structure of LaTc2, as listed in Alexandria via LeMat-Bulk.

- total DFT energy (no corrections) (eV per atom) = -8.41
- formation enthalpy at 0 K (eV per atom) = 0.1405
- space group = P-3m1
- M_tot (μB/cell) = 0.00

```
data_LaTc2
_chemical_formula_sum 'La1 Tc2'
_cell_length_a 4.131
_cell_length_b 4.131
_cell_length_c 4.736
_cell_angle_alpha 90.00
_cell_angle_beta 90.00
_cell_angle_gamma 120.00
_symmetry_space_group_name_H-M 'P 1'
_symmetry_Int_Tables_number 1
_symmetry_space_group_name_Hall 'P 1'
loop_
_atom_site_label
_atom_site_type_symbol
_atom_site_fract_x
_atom_site_fract_y
_atom_site_fract_z
_atom_site_occupancy
La1 La 0.000 0.000 0.000 1
Tc1 Tc 0.333 0.667 0.466 1
Tc2 Tc 0.667 0.333 0.534 1
```


Respective N(E_F) values: 2.64, 2.23, 6.74, 2.08, 2.61, 3.88 states/eV/f.u..